## TaRe2Tc (PBE)

Data for a relaxed structure of TaRe2Tc.

Geometry as CIF:
```
data_TaRe2Tc
_chemical_formula_sum 'Ta4 Re8 Tc4'
_symmetry_space_group_name_H-M 'F m -3 m'
_symmetry_Int_Tables_number 225
_symmetry_space_group_name_Hall '-F 4 2 3'
_cell_length_a 6.307
_cell_length_b 6.307
_cell_length_c 6.307
_cell_angle_alpha 90.00
_cell_angle_beta 90.00
_cell_angle_gamma 90.00
loop_
_atom_site_label
_atom_site_fract_x
_atom_site_fract_y
_atom_site_fract_z
Ta1 0.000 0.000 0.000
Re1 0.250 0.250 0.250
Tc1 0.000 0.000 0.500
```

Density   17.2 g/cm3
Formation energy from the elements   10 kJ/mol of formula units
Polymorph energy (0 for the lowest one)   97 meV per atom